1.
{
  "formula": "AlZn2Si2Ni5",
  "functional": "GGA-PBE",
  "state": "optimized geometry",
  "total_magnetization_mub_per_cell": 0.0,
  "e_form_raw_ev_per_atom": -0.302,
  "final_energy_ev_per_fu": -49.1,
  "space_group": "P4/mbm, No. 127",
  "cell": [[3.4820, 0.0000, 0.0000], [0.0000, 8.4605, 0.0000], [0.0000, 0.0000, 8.4605]],
  "species": ["Si", "Ni", "Al", "Ni", "Si", "Ni", "Zn", "Si", "Ni", "Zn", "Si", "Ni", "Ni", "Ni", "Ni", "Al", "Zn", "Ni", "Ni", "Zn"],
  "frac_coords": [[0.0000, 0.6271, 0.8729], [0.5000, 0.0776, 0.7990], [0.0000, 0.5000, 0.5000], [0.5000, 0.4224, 0.2990], [0.0000, 0.1271, 0.6271], [0.5000, 0.2010, 0.0776], [0.0000, 0.8285, 0.6715], [0.0000, 0.3729, 0.1271], [0.5000, 0.5000, 0.0000], [0.0000, 0.1715, 0.3285], [0.0000, 0.8729, 0.3729], [0.5000, 0.0000, 0.5000], [0.5000, 0.2990, 0.5776], [0.5000, 0.9224, 0.2010], [0.5000, 0.7010, 0.4224], [0.0000, 0.0000, 0.0000], [0.0000, 0.6715, 0.1715], [0.5000, 0.7990, 0.9224], [0.5000, 0.5776, 0.7010], [0.0000, 0.3285, 0.8285]]
}



2.
{
  "formula": "LiCu5Rh",
  "functional": "GGA-PBE",
  "state": "optimized geometry",
  "total_magnetization_mub_per_cell": 0.0,
  "delta_e_f_ev_per_fu": 0.735,
  "final_energy_ev_per_fu": -29.0,
  "space_group": "C2/c, No. 15",
  "e_above_lowest_polymorph_ev_per_atom": 0.024,
  "cell": [[-3.9307, 2.0291, -1.8392], [-3.3439, -2.4703, -2.3804], [-5.4384, -1.5972, 7.3819]],
  "species": ["Cu", "Rh", "Cu", "Rh", "Cu", "Cu", "Cu", "Li", "Li", "Cu", "Cu", "Cu", "Cu", "Cu"],
  "frac_coords": [[0.7482, 0.2518, 0.2500], [0.0000, 0.0000, 0.5000], [0.2319, 0.2501, 0.8111], [0.0000, 0.0000, 0.0000], [0.3319, 0.3442, 0.5481], [0.6558, 0.6681, 0.9519], [0.6681, 0.6558, 0.4519], [0.7470, 0.2530, 0.7500], [0.2530, 0.7470, 0.2500], [0.3442, 0.3319, 0.0481], [0.7499, 0.7681, 0.6889], [0.2501, 0.2319, 0.3111], [0.2518, 0.7482, 0.7500], [0.7681, 0.7499, 0.1889]]
}



3.
{
  "formula": "Sr3BeCl",
  "functional": "GGA-PBE",
  "state": "optimized geometry",
  "total_magnetization_mub_per_cell": 0.0,
  "e_form_raw_ev_per_atom": -0.148,
  "final_energy_ev_per_fu": -11.4,
  "space_group": "Pm-3m, No. 221",
  "e_above_lowest_polymorph_ev_per_atom": 0.000,
  "cell": [[-4.0651, -3.7089, 2.3515], [2.7995, -4.6574, -2.5064], [3.3836, -0.6025, 4.8988]],
  "species": ["Sr", "Sr", "Be", "Cl", "Sr"],
  "frac_coords": [[0.5000, 0.0000, 0.0000], [0.0000, 0.0000, 0.5000], [0.0000, 0.0000, 0.0000], [0.5000, 0.5000, 0.5000], [0.0000, 0.5000, 0.0000]]
}



4.
{
  "formula": "ReTc2P",
  "functional": "GGA-PBE",
  "state": "optimized geometry",
  "total_magnetization_mub_per_cell": 0.0,
  "delta_e_f_ev_per_fu": -0.173,
  "final_energy_ev_per_fu": -38.8,
  "space_group": "P2/m, No. 10",
  "cell": [[3.9299, 0.0000, 0.0000], [0.0000, 2.8205, -0.0062], [0.0000, 1.1722, 5.0755]],
  "species": ["Re", "Tc", "Tc", "P"],
  "frac_coords": [[0.5000, 0.5000, 0.5000], [0.0000, 0.8656, 0.7660], [0.0000, 0.1344, 0.2340], [0.5000, 0.5000, 0.0000]]
}



5.
{
  "formula": "HoEr2Th3",
  "functional": "GGA-PBE",
  "state": "optimized geometry",
  "total_magnetization_mub_per_cell": 0.0,
  "delta_e_f_ev_per_fu": 1.100,
  "final_energy_ev_per_fu": -34.9,
  "space_group": "Cmcm, No. 63",
  "e_above_lowest_polymorph_ev_per_atom": 0.154,
  "cell": [[-4.2677, 4.7888, 1.9108], [-5.8736, -1.4484, -9.4884], [0.0565, -2.7728, 7.0610]],
  "species": ["Er", "Ho", "Er", "Ho", "Th", "Th", "Er", "Th", "Th", "Er", "Th", "Th"],
  "frac_coords": [[0.2497, 0.8963, 0.3332], [0.7500, 0.7702, 0.0000], [0.2503, 0.5631, 0.6668], [0.2500, 0.2298, 0.0000], [0.4998, 0.1666, 0.3335], [0.0002, 0.8331, 0.6665], [0.7503, 0.1037, 0.6668], [0.0000, 0.5000, 0.0000], [0.5002, 0.8334, 0.6665], [0.7497, 0.4369, 0.3332], [0.9998, 0.1669, 0.3335], [0.5000, 0.5000, 0.0000]]
}



6.
{
  "formula": "PmHo8Ga6",
  "functional": "GGA-PBE",
  "state": "optimized geometry",
  "total_magnetization_mub_per_cell": 0.0,
  "delta_e_f_ev_per_fu": -5.352,
  "final_energy_ev_per_fu": -64.9,
  "space_group": "R-3, No. 148",
  "cell": [[8.6436, 0.0000, 0.0000], [4.3218, 7.4856, 0.0000], [4.3218, 2.4952, 6.1345]],
  "species": ["Pm", "Ga", "Ga", "Ga", "Ho", "Ho", "Ho", "Ga", "Ho", "Ga", "Ho", "Ga", "Ho", "Ho", "Ho"],
  "frac_coords": [[0.0000, 0.0000, 0.0000], [0.9400, 0.2786, 0.1791], [0.3978, 0.0600, 0.8209], [0.0600, 0.7214, 0.8209], [0.4452, 0.7779, 0.6645], [0.5548, 0.2221, 0.3355], [0.6675, 0.6675, 0.9975], [0.7214, 0.3978, 0.8209], [0.8876, 0.5548, 0.3355], [0.6022, 0.9400, 0.1791], [0.1124, 0.4452, 0.6645], [0.2786, 0.6022, 0.1791], [0.2221, 0.8876, 0.3355], [0.7779, 0.1124, 0.6645], [0.3325, 0.3325, 0.0025]]
}



7.
{
  "formula": "Be2TlSe",
  "functional": "GGA-PBE",
  "state": "optimized geometry",
  "total_magnetization_mub_per_cell": 0.0,
  "e_form_raw_ev_per_atom": 0.041,
  "final_energy_ev_per_fu": -13.1,
  "space_group": "Pm, No. 6",
  "e_above_lowest_polymorph_ev_per_atom": 0.000,
  "cell": [[-1.8060, -1.1334, 2.5915], [1.2161, -3.0900, -0.5040], [5.9143, 1.4668, 4.7632]],
  "species": ["Se", "Be", "Tl", "Be"],
  "frac_coords": [[0.0000, 0.3696, 0.3458], [0.0000, 0.8739, 0.1620], [0.5000, 0.8828, 0.8305], [0.5000, 0.3737, 0.1617]]
}



8.
{
  "formula": "ScP2Ir",
  "functional": "GGA-PBE",
  "state": "optimized geometry",
  "total_magnetization_mub_per_cell": 0.0,
  "delta_e_f_ev_per_fu": -3.315,
  "final_energy_ev_per_fu": -29.3,
  "space_group": "P2/m, No. 10",
  "e_above_lowest_polymorph_ev_per_atom": 0.043,
  "cell": [[-3.4627, -1.4995, 0.8876], [1.7772, -3.4068, 1.1774], [0.4858, 1.3518, 4.1790]],
  "species": ["P", "P", "Ir", "Sc"],
  "frac_coords": [[0.0000, 0.8835, 0.0210], [0.0000, 0.6165, 0.4790], [0.5000, 0.7500, 0.7500], [0.5000, 0.2500, 0.2500]]
}



9.
{
  "formula": "Sm2Tc5B4",
  "functional": "GGA-PBE",
  "state": "optimized geometry",
  "total_magnetization_mub_per_cell": 0.0,
  "delta_e_f_ev_per_fu": -2.922,
  "final_energy_ev_per_fu": -90.9,
  "space_group": "Fmmm, No. 69",
  "cell": [[5.1685, 0.0000, 0.0000], [2.5842, 5.3414, 0.0000], [2.5842, 0.0000, 5.7700]],
  "species": ["Tc", "Sm", "Tc", "B", "B", "B", "Tc", "Tc", "Tc", "Sm", "B"],
  "frac_coords": [[0.7500, 0.5000, 0.5000], [0.8503, 0.0000, 0.2993], [0.5000, 0.0000, 0.0000], [0.7783, 0.7121, 0.7314], [0.2217, 0.2879, 0.2686], [0.4904, 0.2879, 0.7314], [0.0000, 0.5000, 0.0000], [0.5000, 0.5000, 0.0000], [0.2500, 0.5000, 0.5000], [0.1497, 0.0000, 0.7007], [0.5096, 0.7121, 0.2686]]
}



10.
{
  "formula": "La2Re3N8",
  "functional": "GGA-PBE",
  "state": "optimized geometry",
  "total_magnetization_mub_per_cell": 0.0,
  "e_form_raw_ev_per_atom": -0.351,
  "final_energy_ev_per_fu": -118.4,
  "space_group": "C2/m, No. 12",
  "cell": [[-2.7875, -2.8041, 3.2125], [-3.1353, -2.5407, -4.9383], [6.6134, -1.6164, 0.7508]],
  "species": ["La", "Re", "N", "N", "N", "N", "Re", "N", "N", "N", "N", "Re", "La"],
  "frac_coords": [[0.6642, 0.7367, 0.4734], [0.0000, 0.7044, 0.0000], [0.3924, 0.8760, 0.1965], [0.9509, 0.6115, 0.2230], [0.1017, 0.9041, 0.8082], [0.8983, 0.0959, 0.1918], [0.0000, 0.2956, 0.0000], [0.6076, 0.1240, 0.8035], [0.3924, 0.3206, 0.1965], [0.0491, 0.3885, 0.7770], [0.6076, 0.6794, 0.8035], [0.5000, 0.0000, 0.0000], [0.3358, 0.2633, 0.5266]]
}



11.
{
  "formula": "Pm3Dy2Ho6Er",
  "functional": "GGA-PBE",
  "state": "optimized geometry",
  "total_magnetization_mub_per_cell": 0.0,
  "delta_e_f_ev_per_fu": 0.215,
  "final_energy_ev_per_fu": -55.3,
  "space_group": "C2/m, No. 12",
  "cell": [[-5.2810, -0.0432, -3.1768], [5.3788, -0.5293, -2.9617], [-0.5793, -11.3305, 3.1047]],
  "species": ["Ho", "Pm", "Pm", "Ho", "Ho", "Ho", "Pm", "Ho", "Er", "Ho", "Dy", "Dy"],
  "frac_coords": [[0.9176, 0.5845, 0.7532], [0.8334, 0.1666, 0.5000], [0.1666, 0.8334, 0.5000], [0.0824, 0.4155, 0.2468], [0.7492, 0.7492, 0.2468], [0.4155, 0.0824, 0.2468], [0.5000, 0.5000, 0.5000], [0.5845, 0.9176, 0.7532], [0.0000, 0.0000, 0.0000], [0.2508, 0.2508, 0.7532], [0.6666, 0.3334, 0.0000], [0.3334, 0.6666, 0.0000]]
}



12.
{
  "formula": "NiAg3Ru",
  "functional": "GGA-PBE",
  "state": "optimized geometry",
  "total_magnetization_mub_per_cell": 2.7,
  "delta_e_f_ev_per_fu": 6.761,
  "final_energy_ev_per_fu": -16.9,
  "space_group": "Pm-3m, No. 221",
  "e_above_lowest_polymorph_ev_per_atom": 0.000,
  "cell": [[-1.2087, 4.3581, -1.2214], [-1.8654, -1.6315, -3.9754], [-4.1237, -0.5394, 2.1563]],
  "species": ["Ag", "Ni", "Ag", "Ru", "Ag"],
  "frac_coords": [[0.0000, 0.5000, 0.0000], [0.0000, 0.0000, 0.0000], [0.5000, 0.0000, 0.0000], [0.5000, 0.5000, 0.5000], [0.0000, 0.0000, 0.5000]]
}



13.
{
  "formula": "CrFe6Co",
  "functional": "GGA-PBE",
  "state": "optimized geometry",
  "total_magnetization_mub_per_cell": 56.8,
  "delta_e_f_ev_per_fu": 0.161,
  "final_energy_ev_per_fu": -67.3,
  "space_group": "Cmmm, No. 65",
  "cell": [[5.7441, 0.0000, 0.0000], [-2.8720, 5.6610, 0.0000], [0.0000, 0.0000, 11.3393]],
  "species": ["Cr", "Co", "Fe", "Fe", "Fe", "Fe", "Fe", "Cr", "Fe", "Fe", "Fe", "Fe", "Cr", "Fe", "Co", "Fe", "Fe", "Fe", "Fe", "Fe", "Fe", "Co", "Fe", "Fe", "Fe", "Cr", "Fe", "Fe", "Fe", "Fe", "Fe", "Co"],
  "frac_coords": [[0.2478, 0.4956, 0.5000], [0.7506, 0.5012, 0.0000], [0.5000, 0.0000, 0.0000], [0.1257, 0.7488, 0.8748], [0.0000, 0.0000, 0.5000], [0.7508, 0.5015, 0.2512], [0.0000, 0.0000, 0.0000], [0.0000, 0.0000, 0.7511], [0.6231, 0.7488, 0.8748], [0.8743, 0.2512, 0.8748], [0.8728, 0.2497, 0.3759], [0.1257, 0.7488, 0.1252], [0.7522, 0.5044, 0.5000], [0.3770, 0.2497, 0.3759], [0.2494, 0.4988, 0.0000], [0.6230, 0.7503, 0.6241], [0.6230, 0.7503, 0.3759], [0.7508, 0.5015, 0.7488], [0.8728, 0.2497, 0.6241], [0.3769, 0.2512, 0.8748], [0.6231, 0.7488, 0.1252], [0.5000, 0.0000, 0.7507], [0.3769, 0.2512, 0.1252], [0.3770, 0.2497, 0.6241], [0.2492, 0.4985, 0.2512], [0.0000, 0.0000, 0.2489], [0.2492, 0.4985, 0.7488], [0.8743, 0.2512, 0.1252], [0.1272, 0.7503, 0.6241], [0.5000, 0.0000, 0.5000], [0.1272, 0.7503, 0.3759], [0.5000, 0.0000, 0.2493]]
}



14.
{
  "formula": "Ta3SiIr",
  "functional": "GGA-PBE",
  "state": "optimized geometry",
  "total_magnetization_mub_per_cell": 0.0,
  "e_form_raw_ev_per_atom": 1.171,
  "final_energy_ev_per_fu": -44.0,
  "space_group": "Pm-3m, No. 221",
  "e_above_lowest_polymorph_ev_per_atom": 0.388,
  "cell": [[4.8329, 0.0000, 0.0000], [0.0000, 4.8329, 0.0000], [0.0000, 0.0000, 4.8329]],
  "species": ["Ta", "Ta", "Si", "Ir", "Ta"],
  "frac_coords": [[0.5000, 0.0000, 0.0000], [0.0000, 0.0000, 0.5000], [0.5000, 0.5000, 0.5000], [0.0000, 0.0000, 0.0000], [0.0000, 0.5000, 0.0000]]
}



15.
{
  "formula": "GaNi4Pd",
  "functional": "GGA-PBE",
  "state": "optimized geometry",
  "total_magnetization_mub_per_cell": 2.0,
  "delta_e_f_ev_per_fu": -0.334,
  "final_energy_ev_per_fu": -31.7,
  "space_group": "F-43m, No. 216",
  "cell": [[4.7238, 0.0000, 0.0000], [2.3619, 4.0909, 0.0000], [2.3619, 1.3636, 3.8569]],
  "species": ["Ni", "Ni", "Ga", "Ni", "Pd", "Ni"],
  "frac_coords": [[0.6251, 0.6250, 0.6250], [0.6251, 0.6250, 0.1248], [0.0000, 0.0000, 0.0000], [0.6251, 0.1248, 0.6250], [0.2500, 0.2500, 0.2500], [0.1248, 0.6250, 0.6250]]
}



16.
{
  "formula": "MnAlP",
  "functional": "GGA-PBE",
  "state": "optimized geometry",
  "total_magnetization_mub_per_cell": 1.3,
  "delta_e_f_ev_per_fu": -0.105,
  "final_energy_ev_per_fu": -18.4,
  "space_group": "F-43m, No. 216",
  "cell": [[-3.0158, 2.4462, 0.0822], [-3.0876, -0.6470, -2.2657], [-3.3669, -1.1205, 1.5792]],
  "species": ["P", "Al", "Mn"],
  "frac_coords": [[0.7500, 0.7500, 0.7500], [0.0000, 0.0000, 0.0000], [0.5000, 0.5000, 0.5000]]
}



17.
{
  "formula": "Sm3Er8Tm3",
  "functional": "GGA-PBE",
  "state": "optimized geometry",
  "total_magnetization_mub_per_cell": 0.0,
  "delta_e_f_ev_per_fu": 1.587,
  "final_energy_ev_per_fu": -62.5,
  "space_group": "Immm, No. 71",
  "cell": [[-1.2191, 4.9329, -2.3066], [-8.4308, -0.9892, -4.4067], [-2.2488, 5.9420, 7.1492]],
  "species": ["Er", "Er", "Er", "Er", "Er", "Tm", "Er", "Er", "Tm", "Sm", "Sm", "Er", "Tm", "Sm"],
  "frac_coords": [[0.6597, 0.1190, 0.5613], [0.1572, 0.4455, 0.2398], [0.6597, 0.5613, 0.1190], [0.3403, 0.8810, 0.4387], [0.8428, 0.5545, 0.7602], [0.2049, 0.7952, 0.7952], [0.1572, 0.2398, 0.4455], [0.8428, 0.7602, 0.5545], [0.5000, 0.5000, 0.5000], [0.5000, 0.0000, 0.0000], [0.0000, 0.8179, 0.1821], [0.3403, 0.4387, 0.8810], [0.7951, 0.2048, 0.2048], [0.0000, 0.1821, 0.8179]]
}



18.
{
  "formula": "Ho4Bi2TeAs",
  "functional": "GGA-PBE",
  "state": "optimized geometry",
  "total_magnetization_mub_per_cell": 0.0,
  "e_form_raw_ev_per_atom": -1.119,
  "final_energy_ev_per_fu": -42.8,
  "space_group": "P2/m, No. 10",
  "cell": [[-4.2610, -0.4252, 0.6119], [1.2322, -5.9351, 4.4564], [-0.0271, 6.2642, 4.1643]],
  "species": ["Ho", "Ho", "Bi", "Bi", "Te", "Ho", "Ho", "As"],
  "frac_coords": [[0.5000, 0.2321, 0.2331], [0.0000, 0.2386, 0.7586], [0.0000, 0.5000, 0.5000], [0.5000, 0.0000, 0.5000], [0.5000, 0.5000, 0.0000], [0.5000, 0.7679, 0.7669], [0.0000, 0.7614, 0.2414], [0.0000, 0.0000, 0.0000]]
}



19.
{
  "formula": "ZnAg2Mo",
  "functional": "GGA-PBE",
  "state": "optimized geometry",
  "total_magnetization_mub_per_cell": 1.3,
  "delta_e_f_ev_per_fu": 2.069,
  "final_energy_ev_per_fu": -15.7,
  "space_group": "I4/mmm, No. 139",
  "cell": [[-3.5228, -3.4084, -0.6692], [2.1090, -4.4639, -0.3184], [0.4709, 3.6219, 3.3371]],
  "species": ["Ag", "Zn", "Mo", "Ag"],
  "frac_coords": [[0.5000, 0.5000, 0.0000], [0.7500, 0.2500, 0.5000], [0.2500, 0.7500, 0.5000], [0.0000, 0.0000, 0.0000]]
}



20.
{
  "formula": "CaFeBi2",
  "functional": "GGA-PBE",
  "state": "optimized geometry",
  "total_magnetization_mub_per_cell": 0.0,
  "delta_e_f_ev_per_fu": 0.932,
  "final_energy_ev_per_fu": -17.3,
  "space_group": "Fm-3m, No. 225",
  "cell": [[0.0000, 3.6045, 3.6045], [3.6045, 0.0000, 3.6045], [3.6045, 3.6045, 0.0000]],
  "species": ["Bi", "Fe", "Ca", "Bi"],
  "frac_coords": [[0.7500, 0.7500, 0.7500], [0.5000, 0.5000, 0.5000], [0.0000, 0.0000, 0.0000], [0.2500, 0.2500, 0.2500]]
}